1.
A plane-wave DFT calculation with PBE was carried out for a geometry-optimized SbPb4 structure.

Cell lengths 14.773, 14.773, 14.773 Å; angles 13.58, 13.58, 13.58 degrees
Element x y z (fractional)
Sb 0.000 0.000 0.000
Pb 0.200 0.200 0.200
Pb 0.396 0.396 0.396
Pb 0.604 0.604 0.604
Pb 0.800 0.800 0.800

Space group ... R-3m
E ... -0.273 Ry/atom
Relative energy among the computed polymorphs ... 37 meV/atom
Raw formation energy ... 71.2 meV/atom

=====

2.
A plane-wave DFT calculation with PBE was carried out for a geometry-optimized SbPb structure.

Cell lengths 10.685, 10.685, 3.977 Å; angles 90.00, 90.00, 120.00 degrees
Element x y z (fractional)
Sb 0.030 0.785 0.250
Sb 0.215 0.245 0.250
Sb 0.245 0.030 0.750
Sb 0.755 0.970 0.250
Sb 0.785 0.755 0.750
Sb 0.970 0.215 0.750
Pb 0.129 0.499 0.250
Pb 0.370 0.871 0.250
Pb 0.499 0.370 0.750
Pb 0.501 0.630 0.250
Pb 0.630 0.129 0.750
Pb 0.871 0.501 0.750

Space group ... P6_3/m
E ... -0.277 Ry/atom
Raw formation energy ... 149.1 meV/atom

=====

3.
A plane-wave DFT calculation with PBE was carried out for a geometry-optimized Sb3Pb4 structure.

Cell lengths 13.230, 13.230, 13.230 Å; angles 162.40, 162.40, 24.99 degrees
Element x y z (fractional)
Sb 0.000 0.000 0.000
Sb 0.278 0.278 0.000
Sb 0.722 0.722 0.000
Pb 0.149 0.149 0.000
Pb 0.433 0.433 0.000
Pb 0.567 0.567 0.000
Pb 0.851 0.851 0.000

Space group ... I4/mmm
E ... -0.280 Ry/atom
Raw formation energy ... 70.4 meV/atom

=====

4.
A plane-wave DFT calculation with PBE was carried out for a geometry-optimized SbPb structure.

Cell lengths 6.243, 4.967, 9.167 Å; angles 90.00, 90.00, 90.00 degrees
Element x y z (fractional)
Sb 0.012 0.250 0.241
Sb 0.488 0.750 0.741
Sb 0.512 0.250 0.259
Sb 0.988 0.750 0.759
Pb 0.218 0.750 0.075
Pb 0.282 0.250 0.575
Pb 0.718 0.750 0.425
Pb 0.782 0.250 0.925

Space group ... Pnma
E ... -0.283 Ry/atom
Raw formation energy ... 65.2 meV/atom

=====

5.
A plane-wave DFT calculation with PBE was carried out for a geometry-optimized SbPb structure.

Cell lengths 4.630, 4.630, 9.052 Å; angles 90.00, 90.00, 120.00 degrees
Element x y z (fractional)
Sb 0.333 0.667 0.000
Sb 0.667 0.333 0.500
Pb 0.333 0.667 0.350
Pb 0.667 0.333 0.850

Space group ... P6_3mc
E ... -0.277 Ry/atom
Raw formation energy ... 151.0 meV/atom

=====

6.
A plane-wave DFT calculation with PBE was carried out for a geometry-optimized Sb4Pb5 structure.

Cell lengths 9.765, 9.765, 6.637 Å; angles 90.00, 90.00, 120.00 degrees
Element x y z (fractional)
Sb 0.000 0.000 0.000
Sb 0.000 0.000 0.500
Sb 0.000 0.369 0.250
Sb 0.000 0.631 0.750
Sb 0.369 0.000 0.250
Sb 0.369 0.369 0.750
Sb 0.631 0.000 0.750
Sb 0.631 0.631 0.250
Pb 0.000 0.298 0.750
Pb 0.000 0.702 0.250
Pb 0.298 0.000 0.750
Pb 0.298 0.298 0.250
Pb 0.333 0.667 0.000
Pb 0.333 0.667 0.500
Pb 0.667 0.333 0.000
Pb 0.667 0.333 0.500
Pb 0.702 0.000 0.250
Pb 0.702 0.702 0.750

Space group ... P6_3/mcm
E ... -0.280 Ry/atom
Raw formation energy ... 78.0 meV/atom

=====

7.
A plane-wave DFT calculation with PBE was carried out for a geometry-optimized SbPb structure.

Cell lengths 11.720, 10.169, 6.496 Å; angles 86.42, 60.00, 33.59 degrees
Element x y z (fractional)
Sb 0.028 0.722 0.028
Sb 0.278 0.972 0.278
Sb 0.722 0.028 0.722
Sb 0.972 0.278 0.972
Pb 0.285 0.285 0.465
Pb 0.465 0.465 0.285
Pb 0.535 0.535 0.715
Pb 0.715 0.715 0.535

Space group ... Fddd
E ... -0.282 Ry/atom
Raw formation energy ... 74.5 meV/atom

=====

8.
A plane-wave DFT calculation with PBE was carried out for a geometry-optimized SbPb2 structure.

Cell lengths 6.836, 5.391, 10.098 Å; angles 90.00, 90.00, 90.00 degrees
Element x y z (fractional)
Sb 0.216 0.250 0.104
Sb 0.284 0.750 0.604
Sb 0.716 0.250 0.396
Sb 0.784 0.750 0.896
Pb 0.055 0.250 0.786
Pb 0.187 0.250 0.430
Pb 0.313 0.750 0.930
Pb 0.445 0.750 0.286
Pb 0.555 0.250 0.714
Pb 0.687 0.250 0.070
Pb 0.813 0.750 0.570
Pb 0.945 0.750 0.214

Space group ... Pnma
E ... -0.281 Ry/atom
Relative energy among the computed polymorphs ... 0 meV/atom
Raw formation energy ... 24.5 meV/atom

=====

9.
A plane-wave DFT calculation with PBE was carried out for a geometry-optimized Sb3Pb structure.

Cell lengths 6.177, 6.177, 6.177 Å; angles 90.00, 90.00, 90.00 degrees
Element x y z (fractional)
Sb 0.000 0.250 0.500
Sb 0.000 0.750 0.500
Sb 0.250 0.500 0.000
Sb 0.500 0.000 0.250
Sb 0.500 0.000 0.750
Sb 0.750 0.500 0.000
Pb 0.000 0.000 0.000
Pb 0.500 0.500 0.500

Space group ... Pm-3n
E ... -0.274 Ry/atom
Relative energy among the computed polymorphs ... 240 meV/atom
Raw formation energy ... 295.5 meV/atom

=====

10.
A plane-wave DFT calculation with PBE was carried out for a geometry-optimized Sb3Pb structure.

Cell lengths 5.912, 5.912, 5.912 Å; angles 90.00, 90.00, 90.00 degrees
Element x y z (fractional)
Sb 0.000 0.000 0.500
Sb 0.000 0.500 0.000
Sb 0.500 0.000 0.000
Pb 0.000 0.000 0.000

Space group ... Pm-3m
E ... -0.213 Ry/atom
Relative energy among the computed polymorphs ... 1072 meV/atom
Raw formation energy ... 1127.0 meV/atom

=====

11.
A plane-wave DFT calculation with PBE was carried out for a geometry-optimized SbPb2 structure.

Cell lengths 6.485, 6.485, 6.485 Å; angles 60.00, 60.00, 60.00 degrees
Element x y z (fractional)
Sb 0.125 0.125 0.125
Sb 0.875 0.875 0.875
Pb 0.000 0.500 0.500
Pb 0.500 0.000 0.500
Pb 0.500 0.500 0.000
Pb 0.500 0.500 0.500

Space group ... Fd-3m
E ... -0.260 Ry/atom
Relative energy among the computed polymorphs ... 290 meV/atom
Raw formation energy ... 314.1 meV/atom

=====

12.
A plane-wave DFT calculation with PBE was carried out for a geometry-optimized SbPb2 structure.

Cell lengths 12.840, 12.840, 12.840 Å; angles 162.12, 162.12, 25.39 degrees
Element x y z (fractional)
Sb 0.375 0.625 0.750
Sb 0.625 0.375 0.250
Pb 0.058 0.808 0.250
Pb 0.192 0.942 0.250
Pb 0.808 0.058 0.750
Pb 0.942 0.192 0.750

Space group ... I4_1/amd
E ... -0.277 Ry/atom
Relative energy among the computed polymorphs ... 47 meV/atom
Raw formation energy ... 71.3 meV/atom

=====

13.
A plane-wave DFT calculation with PBE was carried out for a geometry-optimized Sb3Pb2 structure.

Cell lengths 8.781, 6.501, 9.864 Å; angles 60.86, 40.29, 78.85 degrees
Element x y z (fractional)
Sb 0.000 0.000 0.000
Sb 0.250 0.250 0.250
Sb 0.344 0.433 0.435
Sb 0.433 0.344 0.788
Sb 0.462 0.815 0.817
Sb 0.815 0.462 0.906
Pb 0.351 0.840 0.548
Pb 0.702 0.989 0.899
Pb 0.840 0.351 0.261
Pb 0.989 0.702 0.410

Space group ... Fdd2
E ... -0.283 Ry/atom
Relative energy among the computed polymorphs ... 32 meV/atom
Raw formation energy ... 103.0 meV/atom

=====

14.
A plane-wave DFT calculation with PBE was carried out for a geometry-optimized SbPb structure.

Cell lengths 7.995, 7.995, 7.995 Å; angles 94.04, 94.04, 149.22 degrees
Element x y z (fractional)
Sb 0.026 0.665 0.691
Sb 0.335 0.026 0.361
Sb 0.665 0.974 0.639
Sb 0.974 0.335 0.309
Pb 0.334 0.649 0.983
Pb 0.351 0.334 0.685
Pb 0.649 0.666 0.315
Pb 0.666 0.351 0.017

Space group ... I4/m
E ... -0.277 Ry/atom
Raw formation energy ... 144.3 meV/atom

=====

15.
A plane-wave DFT calculation with PBE was carried out for a geometry-optimized SbPb4 structure.

Cell lengths 9.289, 9.289, 9.289 Å; angles 152.78, 152.78, 38.87 degrees
Element x y z (fractional)
Sb 0.000 0.000 0.000
Pb 0.250 0.750 0.500
Pb 0.408 0.408 0.000
Pb 0.592 0.592 0.000
Pb 0.750 0.250 0.500

Space group ... I4/mmm
E ... -0.264 Ry/atom
Relative energy among the computed polymorphs ... 163 meV/atom
Raw formation energy ... 197.3 meV/atom

=====

16.
A plane-wave DFT calculation with PBE was carried out for a geometry-optimized SbPb2 structure.

Cell lengths 7.555, 7.555, 7.555 Å; angles 90.00, 90.00, 90.00 degrees
Element x y z (fractional)
Sb 0.000 0.000 0.000
Sb 0.000 0.500 0.500
Sb 0.500 0.000 0.500
Sb 0.500 0.500 0.000
Pb 0.124 0.624 0.876
Pb 0.124 0.876 0.376
Pb 0.376 0.124 0.876
Pb 0.376 0.376 0.376
Pb 0.624 0.624 0.624
Pb 0.624 0.876 0.124
Pb 0.876 0.124 0.624
Pb 0.876 0.376 0.124

Space group ... Pa-3
E ... -0.276 Ry/atom
Relative energy among the computed polymorphs ... 68 meV/atom
Raw formation energy ... 92.3 meV/atom

=====

17.
A plane-wave DFT calculation with PBE was carried out for a geometry-optimized Sb3Pb structure.

Cell lengths 12.619, 12.619, 12.619 Å; angles 159.53, 159.53, 29.11 degrees
Element x y z (fractional)
Sb 0.000 0.500 0.500
Sb 0.095 0.095 0.000
Sb 0.250 0.750 0.500
Sb 0.500 0.000 0.500
Sb 0.750 0.250 0.500
Sb 0.905 0.905 0.000
Pb 0.354 0.354 0.000
Pb 0.646 0.646 0.000

Space group ... I4/mmm
E ... -0.285 Ry/atom
Relative energy among the computed polymorphs ... 79 meV/atom
Raw formation energy ... 134.8 meV/atom

=====

18.
A plane-wave DFT calculation with PBE was carried out for a geometry-optimized SbPb2 structure.

Cell lengths 5.559, 5.559, 3.427 Å; angles 90.00, 90.00, 120.00 degrees
Element x y z (fractional)
Sb 0.000 0.000 0.000
Pb 0.333 0.667 0.755
Pb 0.667 0.333 0.245

Space group ... P-3m1
E ... -0.279 Ry/atom
Relative energy among the computed polymorphs ... 21 meV/atom
Raw formation energy ... 45.5 meV/atom

=====

19.
A plane-wave DFT calculation with PBE was carried out for a geometry-optimized SbPb2 structure.

Cell lengths 6.331, 6.331, 6.331 Å; angles 142.95, 142.95, 53.40 degrees
Element x y z (fractional)
Sb 0.000 0.000 0.000
Pb 0.346 0.346 0.000
Pb 0.654 0.654 0.000

Space group ... I4/mmm
E ... -0.279 Ry/atom
Relative energy among the computed polymorphs ... 26 meV/atom
Raw formation energy ... 50.4 meV/atom

=====

20.
A plane-wave DFT calculation with PBE was carried out for a geometry-optimized SbPb5 structure.

Cell lengths 6.169, 10.468, 6.205 Å; angles 90.00, 110.85, 90.00 degrees
Element x y z (fractional)
Sb 0.025 0.250 0.286
Sb 0.975 0.750 0.714
Pb 0.007 0.081 0.740
Pb 0.007 0.419 0.740
Pb 0.456 0.750 0.211
Pb 0.484 0.086 0.250
Pb 0.484 0.414 0.250
Pb 0.516 0.586 0.750
Pb 0.516 0.914 0.750
Pb 0.544 0.250 0.789
Pb 0.993 0.581 0.260
Pb 0.993 0.919 0.260

Space group ... P2_1/m
E ... -0.275 Ry/atom
Relative energy among the computed polymorphs ... 0 meV/atom
Raw formation energy ... 29.9 meV/atom

=====

21.
A plane-wave DFT calculation with PBE was carried out for a geometry-optimized SbPb structure.

Cell lengths 3.609, 3.609, 4.608 Å; angles 90.00, 90.00, 90.00 degrees
Element x y z (fractional)
Sb 0.000 0.000 0.000
Pb 0.500 0.500 0.500

Space group ... P4/mmm
E ... -0.280 Ry/atom
Raw formation energy ... 103.3 meV/atom

=====

22.
A plane-wave DFT calculation with PBE was carried out for a geometry-optimized Sb3Pb structure.

Cell lengths 3.309, 3.309, 10.868 Å; angles 90.00, 90.00, 107.58 degrees
Element x y z (fractional)
Sb 0.000 0.000 0.000
Sb 0.500 0.500 0.241
Sb 0.500 0.500 0.759
Pb 0.000 0.000 0.500

Space group ... Cmmm
E ... -0.282 Ry/atom
Relative energy among the computed polymorphs ... 128 meV/atom
Raw formation energy ... 183.3 meV/atom

=====

23.
A plane-wave DFT calculation with PBE was carried out for a geometry-optimized Sb3Pb2 structure.

Cell lengths 7.550, 7.550, 7.550 Å; angles 66.10, 66.10, 66.10 degrees
Element x y z (fractional)
Sb 0.034 0.250 0.466
Sb 0.250 0.466 0.034
Sb 0.466 0.034 0.250
Sb 0.534 0.966 0.750
Sb 0.750 0.534 0.966
Sb 0.966 0.750 0.534
Pb 0.101 0.101 0.101
Pb 0.399 0.399 0.399
Pb 0.601 0.601 0.601
Pb 0.899 0.899 0.899

Space group ... R-3c
E ... -0.277 Ry/atom
Relative energy among the computed polymorphs ... 113 meV/atom
Raw formation energy ... 184.5 meV/atom

=====

24.
A plane-wave DFT calculation with PBE was carried out for a geometry-optimized Sb3Pb structure.

Cell lengths 4.419, 6.133, 4.835 Å; angles 90.00, 90.00, 90.00 degrees
Element x y z (fractional)
Sb 0.000 0.000 0.000
Sb 0.000 0.500 0.056
Sb 0.500 0.500 0.457
Pb 0.500 0.000 0.572

Space group ... Pmm2
E ... -0.291 Ry/atom
Relative energy among the computed polymorphs ... 0 meV/atom
Raw formation energy ... 55.4 meV/atom